A PBEsol-optimized structure of Co2CuSe, computed with meta-GGA SCAN.

Summary:
Calculated density in g cm⁻³: 9.06
Formation energy (no corrections) in kJ/mol of formula units: 142

```
data_Co2CuSe
_symmetry_space_group_name_H-M 'P 1'
_symmetry_Int_Tables_number 1
_cell_length_a 4.615
_cell_length_b 4.615
_cell_length_c 4.615
_cell_angle_alpha 138.12
_cell_angle_beta 132.50
_cell_angle_gamma 65.16
loop_
_symmetry_equiv_pos_as_xyz
'x,y,z'
loop_
_atom_site_label
_atom_site_type_symbol
_atom_site_fract_x
_atom_site_fract_y
_atom_site_fract_z
Co1 Co 0.000 0.000 0.000
Co2 Co 0.744 0.244 0.500
Cu1 Cu 0.265 0.765 0.500
Se1 Se 0.520 0.520 0.000
```

---

A PBEsol-optimized structure of Co2CuSe, computed with meta-GGA SCAN.

Summary:
Calculated density in g cm⁻³: 9.21
Formation energy (no corrections) in kJ/mol of formula units: 136

```
data_Co2CuSe
_symmetry_space_group_name_H-M 'P 1'
_symmetry_Int_Tables_number 1
_cell_length_a 3.851
_cell_length_b 3.851
_cell_length_c 3.165
_cell_angle_alpha 90.00
_cell_angle_beta 90.00
_cell_angle_gamma 90.00
loop_
_symmetry_equiv_pos_as_xyz
'x,y,z'
loop_
_atom_site_label
_atom_site_type_symbol
_atom_site_fract_x
_atom_site_fract_y
_atom_site_fract_z
Co1 Co 0.000 0.500 0.000
Co2 Co 0.500 0.000 0.000
Cu1 Cu 0.000 0.000 0.500
Se1 Se 0.500 0.500 0.500
```

---

A PBEsol-optimized structure of CoCuSe2, computed with meta-GGA SCAN.

Summary:
Calculated density in g cm⁻³: 6.38
Formation energy (no corrections) in kJ/mol of formula units: -74

```
data_CoCuSe2
_symmetry_space_group_name_H-M 'P 1'
_symmetry_Int_Tables_number 1
_cell_length_a 7.206
_cell_length_b 7.206
_cell_length_c 7.206
_cell_angle_alpha 28.04
_cell_angle_beta 28.04
_cell_angle_gamma 28.04
loop_
_symmetry_equiv_pos_as_xyz
'x,y,z'
loop_
_atom_site_label
_atom_site_type_symbol
_atom_site_fract_x
_atom_site_fract_y
_atom_site_fract_z
Co1 Co 0.000 0.000 0.000
Cu1 Cu 0.500 0.500 0.500
Se1 Se 0.391 0.391 0.391
Se2 Se 0.609 0.609 0.609
```

---

A PBEsol-optimized structure of CoCuSi, computed with meta-GGA SCAN.

Summary:
Calculated density in g cm⁻³: 6.56
Formation energy (no corrections) in kJ/mol of formula units: 26

```
data_CoCuSi
_symmetry_space_group_name_H-M 'P 1'
_symmetry_Int_Tables_number 1
_cell_length_a 3.778
_cell_length_b 3.778
_cell_length_c 3.778
_cell_angle_alpha 60.00
_cell_angle_beta 60.00
_cell_angle_gamma 60.00
loop_
_symmetry_equiv_pos_as_xyz
'x,y,z'
loop_
_atom_site_label
_atom_site_type_symbol
_atom_site_fract_x
_atom_site_fract_y
_atom_site_fract_z
Co1 Co 0.000 0.000 0.000
Cu1 Cu 0.250 0.250 0.250
Si1 Si 0.750 0.750 0.750
```

---

A PBEsol-optimized structure of CoCuSi3, computed with meta-GGA SCAN.

Summary:
Calculated density in g cm⁻³: 4.15
Formation energy (no corrections) in kJ/mol of formula units: 589

```
data_CoCuSi3
_symmetry_space_group_name_H-M 'P 1'
_symmetry_Int_Tables_number 1
_cell_length_a 4.356
_cell_length_b 4.356
_cell_length_c 4.356
_cell_angle_alpha 90.00
_cell_angle_beta 90.00
_cell_angle_gamma 90.00
loop_
_symmetry_equiv_pos_as_xyz
'x,y,z'
loop_
_atom_site_label
_atom_site_type_symbol
_atom_site_fract_x
_atom_site_fract_y
_atom_site_fract_z
Co1 Co 0.000 0.000 0.000
Cu1 Cu 0.500 0.500 0.500
Si1 Si 0.000 0.500 0.500
Si2 Si 0.500 0.000 0.500
Si3 Si 0.500 0.500 0.000
```

---

A PBEsol-optimized structure of Co2CuSi2, computed with meta-GGA SCAN.

Summary:
Calculated density in g cm⁻³: 7.18
Formation energy (no corrections) in kJ/mol of formula units: -165

```
data_Co2CuSi2
_symmetry_space_group_name_H-M 'P 1'
_symmetry_Int_Tables_number 1
_cell_length_a 6.538
_cell_length_b 6.538
_cell_length_c 2.571
_cell_angle_alpha 90.00
_cell_angle_beta 90.00
_cell_angle_gamma 90.00
loop_
_symmetry_equiv_pos_as_xyz
'x,y,z'
loop_
_atom_site_label
_atom_site_type_symbol
_atom_site_fract_x
_atom_site_fract_y
_atom_site_fract_z
Co1 Co 0.146 0.354 0.000
Co2 Co 0.354 0.854 0.000
Co3 Co 0.646 0.146 0.000
Co4 Co 0.854 0.646 0.000
Cu1 Cu 0.000 0.000 0.500
Cu2 Cu 0.500 0.500 0.500
Si1 Si 0.149 0.649 0.500
Si2 Si 0.351 0.149 0.500
Si3 Si 0.649 0.851 0.500
Si4 Si 0.851 0.351 0.500
```

---

A PBEsol-optimized structure of SmCo4Cu, computed with meta-GGA SCAN.

Summary:
Calculated density in g cm⁻³: 8.76
ΔH_f (0 K) in kJ per mole of atoms: -0.7

```
data_SmCo4Cu
_symmetry_space_group_name_H-M 'P 1'
_symmetry_Int_Tables_number 1
_cell_length_a 4.978
_cell_length_b 4.978
_cell_length_c 3.972
_cell_angle_alpha 90.00
_cell_angle_beta 90.00
_cell_angle_gamma 120.00
loop_
_symmetry_equiv_pos_as_xyz
'x,y,z'
loop_
_atom_site_label
_atom_site_type_symbol
_atom_site_fract_x
_atom_site_fract_y
_atom_site_fract_z
Sm1 Sm 0.000 0.000 0.000
Co1 Co 0.501 0.002 0.500
Co2 Co 0.501 0.499 0.500
Co3 Co 0.667 0.333 0.000
Co4 Co 0.998 0.499 0.500
Cu1 Cu 0.333 0.667 0.000
```

---

A PBEsol-optimized structure of Sr4CoCu, computed with meta-GGA SCAN.

Summary:
Calculated density in g cm⁻³: 3.69
ΔH_f (0 K) in kJ per mole of atoms: 116.3

```
data_Sr4CoCu
_symmetry_space_group_name_H-M 'P 1'
_symmetry_Int_Tables_number 1
_cell_length_a 6.704
_cell_length_b 6.704
_cell_length_c 6.704
_cell_angle_alpha 60.00
_cell_angle_beta 60.00
_cell_angle_gamma 60.00
loop_
_symmetry_equiv_pos_as_xyz
'x,y,z'
loop_
_atom_site_label
_atom_site_type_symbol
_atom_site_fract_x
_atom_site_fract_y
_atom_site_fract_z
Sr1 Sr 0.125 0.125 0.125
Sr2 Sr 0.125 0.125 0.624
Sr3 Sr 0.125 0.624 0.125
Sr4 Sr 0.624 0.125 0.125
Co1 Co 0.500 0.500 0.500
Cu1 Cu 0.750 0.750 0.750
```

---

A PBEsol-optimized structure of SrCoCu, computed with meta-GGA SCAN.

Summary:
Calculated density in g cm⁻³: 5.32
ΔH_f (0 K) in kJ per mole of atoms: 67.9

```
data_SrCoCu
_symmetry_space_group_name_H-M 'P 1'
_symmetry_Int_Tables_number 1
_cell_length_a 4.525
_cell_length_b 4.525
_cell_length_c 4.525
_cell_angle_alpha 60.00
_cell_angle_beta 60.00
_cell_angle_gamma 60.00
loop_
_symmetry_equiv_pos_as_xyz
'x,y,z'
loop_
_atom_site_label
_atom_site_type_symbol
_atom_site_fract_x
_atom_site_fract_y
_atom_site_fract_z
Sr1 Sr 0.000 0.000 0.000
Co1 Co 0.500 0.500 0.500
Cu1 Cu 0.250 0.250 0.250
```

---

A PBEsol-optimized structure of SrTl2CoCu, computed with meta-GGA SCAN.

Summary:
Calculated density in g cm⁻³: 6.12
ΔH_f (0 K) in kJ per mole of atoms: 146.4

```
data_SrTl2CoCu
_symmetry_space_group_name_H-M 'P 1'
_symmetry_Int_Tables_number 1
_cell_length_a 5.982
_cell_length_b 5.982
_cell_length_c 4.695
_cell_angle_alpha 90.00
_cell_angle_beta 90.00
_cell_angle_gamma 90.00
loop_
_symmetry_equiv_pos_as_xyz
'x,y,z'
loop_
_atom_site_label
_atom_site_type_symbol
_atom_site_fract_x
_atom_site_fract_y
_atom_site_fract_z
Sr1 Sr 0.000 0.000 0.000
Tl1 Tl 0.000 0.500 0.000
Tl2 Tl 0.500 0.000 0.000
Co1 Co 0.000 0.000 0.500
Cu1 Cu 0.500 0.500 0.500
```

---

A PBEsol-optimized structure of TaCo4Cu, computed with meta-GGA SCAN.

Summary:
Calculated density in g cm⁻³: 11.62
ΔH_f (0 K) in kJ per mole of atoms: 1.8

```
data_TaCo4Cu
_symmetry_space_group_name_H-M 'P 1'
_symmetry_Int_Tables_number 1
_cell_length_a 4.596
_cell_length_b 4.596
_cell_length_c 4.596
_cell_angle_alpha 60.00
_cell_angle_beta 60.00
_cell_angle_gamma 60.00
loop_
_symmetry_equiv_pos_as_xyz
'x,y,z'
loop_
_atom_site_label
_atom_site_type_symbol
_atom_site_fract_x
_atom_site_fract_y
_atom_site_fract_z
Ta1 Ta 0.000 0.000 0.000
Co1 Co 0.376 0.376 0.376
Co2 Co 0.376 0.376 0.873
Co3 Co 0.376 0.873 0.376
Co4 Co 0.873 0.376 0.376
Cu1 Cu 0.750 0.750 0.750
```

---

A PBEsol-optimized structure of TaCo2Cu, computed with meta-GGA SCAN.

Summary:
Calculated density in g cm⁻³: 12.36
ΔH_f (0 K) in kJ per mole of atoms: -1.0

```
data_TaCo2Cu
_symmetry_space_group_name_H-M 'P 1'
_symmetry_Int_Tables_number 1
_cell_length_a 3.024
_cell_length_b 3.024
_cell_length_c 5.322
_cell_angle_alpha 90.00
_cell_angle_beta 90.00
_cell_angle_gamma 90.00
loop_
_symmetry_equiv_pos_as_xyz
'x,y,z'
loop_
_atom_site_label
_atom_site_type_symbol
_atom_site_fract_x
_atom_site_fract_y
_atom_site_fract_z
Ta1 Ta 0.000 0.000 0.000
Co1 Co 0.500 0.500 0.259
Co2 Co 0.500 0.500 0.741
Cu1 Cu 0.000 0.000 0.500
```

---

A PBEsol-optimized structure of CoCu2Tc, computed with meta-GGA SCAN.

Summary:
Calculated density in g cm⁻³: 9.94
ΔH_f (0 K) in kJ per mole of atoms: 25.5

```
data_CoCu2Tc
_symmetry_space_group_name_H-M 'P 1'
_symmetry_Int_Tables_number 1
_cell_length_a 2.443
_cell_length_b 3.833
_cell_length_c 5.066
_cell_angle_alpha 90.00
_cell_angle_beta 90.00
_cell_angle_gamma 90.00
loop_
_symmetry_equiv_pos_as_xyz
'x,y,z'
loop_
_atom_site_label
_atom_site_type_symbol
_atom_site_fract_x
_atom_site_fract_y
_atom_site_fract_z
Co1 Co 0.000 0.000 0.000
Cu1 Cu 0.500 0.500 0.242
Cu2 Cu 0.500 0.500 0.758
Tc1 Tc 0.000 0.000 0.500
```

---

A PBEsol-optimized structure of TlCoCuTe2, computed with meta-GGA SCAN.

Summary:
Calculated density in g cm⁻³: 8.09
Formation energy (no corrections) in kJ/mol of formula units: 288

```
data_TlCoCuTe2
_symmetry_space_group_name_H-M 'P 1'
_symmetry_Int_Tables_number 1
_cell_length_a 4.969
_cell_length_b 4.969
_cell_length_c 4.840
_cell_angle_alpha 90.00
_cell_angle_beta 90.00
_cell_angle_gamma 90.00
loop_
_symmetry_equiv_pos_as_xyz
'x,y,z'
loop_
_atom_site_label
_atom_site_type_symbol
_atom_site_fract_x
_atom_site_fract_y
_atom_site_fract_z
Tl1 Tl 0.000 0.000 0.000
Co1 Co 0.000 0.000 0.500
Cu1 Cu 0.500 0.500 0.000
Te1 Te 0.000 0.500 0.500
Te2 Te 0.500 0.000 0.500
```